# 1
First-principles (PBE) data for crystalline TlCuRh2 at its relaxed geometry, as listed in the Alexandria database.

Cell: 2.907 3.759 5.844 Å, 90.00 90.36 90.00°
Element x y z (fractional)
Tl 0.000 0.000 0.000
Cu 0.502 0.500 0.721
Rh 0.002 0.000 0.513
Rh 0.500 0.500 0.276

Computed properties:
SG ... No. 6



# 2
First-principles (PBE) data for crystalline SrLaPb6 at its relaxed geometry, as listed in the Alexandria database.

Cell: 4.975 4.975 10.081 Å, 90.00 90.00 90.00°
Element x y z (fractional)
Sr 0.000 0.000 0.000
La 0.000 0.000 0.500
Pb 0.000 0.500 0.251
Pb 0.000 0.500 0.749
Pb 0.500 0.000 0.251
Pb 0.500 0.000 0.749
Pb 0.500 0.500 0.000
Pb 0.500 0.500 0.500

Computed properties:
SG ... No. 123



no.,calculated volume (Å³/cell),DFT total energy (eV/atom),total magnetic moment (μB/f.u.)
1,63.86,-5.083,0.0
2,249.50,-4.005,0.0